DFT (PBE) results for a geometry-optimized FePt3 structure.

Cell and atoms, written as POSCAR:
```
FePt3
1.0
1.3839 0.7990 9.0250
-1.3839 0.7990 9.0250
0.0000 -1.5980 9.0250
Fe Pt
1 3
Direct
0.0000 0.0000 0.0000 Fe
0.2558 0.2558 0.2558 Pt
0.5000 0.5000 0.5000 Pt
0.7442 0.7442 0.7442 Pt
```

## Properties
Space group: R-3m, No. 166
Final energy in eV per atom: -6.7772
ΔE_f in meV per atom: -130.9